Record 1
# ScSb2Rh2 (PBE, optimized geometry)
# - Formation energy from raw total energies: -0.46 eV/atom
data_ScSb2Rh2
_cell_length_a 7.530
_cell_length_b 7.530
_cell_length_c 3.390
_cell_angle_alpha 90.00
_cell_angle_beta 90.00
_cell_angle_gamma 90.00
_space_group_name_H-M_alt 'P 4/m b m'
_space_group_IT_number 127
_space_group_name_Hall '-P 4 2ab'
loop_
_atom_site_label
_atom_site_fract_x
_atom_site_fract_y
_atom_site_fract_z
Sc1 0.000 0.000 0.000
Sb1 0.165 0.335 0.500
Rh1 0.133 0.633 0.000

***

Record 2
# Sc3SbRh (PBE, optimized geometry)
# - Formation energy from raw total energies: -0.45 eV/atom
# - Polymorph energy (0 for the lowest one): 0 meV per atom
data_Sc3SbRh
_cell_length_a 4.977
_cell_length_b 4.977
_cell_length_c 4.977
_cell_angle_alpha 90.00
_cell_angle_beta 90.00
_cell_angle_gamma 90.00
_space_group_name_H-M_alt 'P m -3 m'
_space_group_IT_number 221
_space_group_name_Hall '-P 4 2 3'
loop_
_atom_site_label
_atom_site_fract_x
_atom_site_fract_y
_atom_site_fract_z
Sc1 0.000 0.000 0.500
Sb1 0.500 0.500 0.500
Rh1 0.000 0.000 0.000

***

Q: Look up the formation energy from raw total energies of the second one.
A: -0.45 eV/atom

***

Q: The highest formation energy from raw total energies belongs to which entry?
A: Sc3SbRh